# ScTa2NbBr | Alexandria | PBE-GGA | relaxed
data_ScTa2NbBr
_cell_length_a 4.748
_cell_length_b 4.748
_cell_length_c 4.725
_cell_angle_alpha 90.00
_cell_angle_beta 90.00
_cell_angle_gamma 90.00
_space_group_name_H-M_alt 'P 4/m m m'
_space_group_IT_number 123
_space_group_name_Hall '-P 4 2'
loop_
_atom_site_label
_atom_site_type_symbol
_atom_site_fract_x
_atom_site_fract_y
_atom_site_fract_z
Sc1 Sc 0.000 0.000 0.000
Ta1 Ta 0.000 0.500 0.500
Nb1 Nb 0.500 0.500 0.000
Br1 Br 0.000 0.000 0.500
# ΔE_f (raw): 5.24 eV/f.u.